No. 1
The following is a DFT calculation (GGA+U) of Mn6O5F7 after structural relaxation.

Lattice parameters (Å, degrees): 5.711 5.711 7.176 74.43 74.43 75.40
Last column: magnetic moment on the atom in μB.
Positions (direct):
Mn 0.672 0.328 0.000  4.16
Mn 0.997 0.670 0.154  4.10
Mn 0.688 0.312 0.500  4.31
Mn 0.005 0.697 0.669  4.06
Mn 0.303 0.995 0.331  4.06
Mn 0.330 0.003 0.846  4.10
O 0.785 0.429 0.198  -0.16
O 0.096 0.790 0.869  -0.13
O 0.210 0.904 0.131  -0.13
O 0.571 0.215 0.802  -0.16
O 0.980 0.020 0.500  -0.16
F 0.663 0.972 0.182  0.03
F 0.386 0.614 0.500  0.06
F 0.422 0.081 0.541  0.01
F 0.919 0.578 0.459  0.01
F 0.313 0.367 0.170  0.06
F 0.633 0.687 0.830  0.06
F 0.028 0.337 0.818  0.03

Values from the calculation:
energy above the most stable polymorph in this dataset	3	meV per atom
DFT total energy	-6.68	eV per atom



No. 2
The following is a DFT calculation (GGA+U) of MnOF3 after structural relaxation.

Lattice parameters (Å, degrees): 5.651 7.959 7.959 115.56 94.19 94.19
Last column: magnetic moment on the atom in μB.
Positions (direct):
Mn 0.250 0.167 0.833  3.99
Mn 0.750 0.833 0.167  3.99
Mn 0.250 0.816 0.184  3.87
Mn 0.750 0.184 0.816  3.87
O 0.984 0.437 0.420  0.77
O 0.516 0.580 0.563  0.77
O 0.016 0.563 0.580  0.77
O 0.484 0.420 0.437  0.77
F 0.557 0.181 0.002  -0.01
F 0.943 0.998 0.819  -0.01
F 0.443 0.819 0.998  -0.01
F 0.057 0.002 0.181  -0.01
F 0.907 0.658 0.986  0.01
F 0.593 0.014 0.342  0.01
F 0.093 0.342 0.014  0.01
F 0.407 0.986 0.658  0.01
F 0.472 0.661 0.207  0.00
F 0.028 0.793 0.339  0.00
F 0.528 0.339 0.793  0.00
F 0.972 0.207 0.661  0.00

Values from the calculation:
DFT total energy	-5.42	eV per atom



No. 3
The following is a DFT calculation (GGA+U) of Mn6O5F7 after structural relaxation.

Lattice parameters (Å, degrees): 5.618 5.734 7.300 74.11 74.32 72.46
Last column: magnetic moment on the atom in μB.
Positions (direct):
Mn 0.704 0.676 0.837  4.06
Mn 0.310 0.363 0.668  4.10
Mn 0.674 0.620 0.315  4.25
Mn 0.306 0.334 0.174  4.17
Mn 0.998 0.995 0.495  4.12
Mn 0.006 0.007 0.998  4.15
O 0.029 0.665 0.665  -0.14
O 0.216 0.244 0.958  -0.14
O 0.798 0.773 0.029  -0.15
O 0.410 0.429 0.381  -0.15
O 0.967 0.327 0.332  -0.18
F 0.382 0.941 0.336  0.04
F 0.912 0.871 0.299  0.02
F 0.588 0.572 0.642  0.03
F 0.074 0.114 0.700  0.04
F 0.613 0.057 0.664  0.04
F 0.333 0.713 0.990  0.03
F 0.680 0.300 0.018  0.03

Values from the calculation:
energy above the most stable polymorph in this dataset	10	meV per atom
DFT total energy	-6.67	eV per atom



No. 4
The following is a DFT calculation (GGA+U) of Mn3OF5 after structural relaxation.

Lattice parameters (Å, degrees): 5.842 5.882 7.571 73.81 73.56 71.93
Last column: magnetic moment on the atom in μB.
Positions (direct):
Mn 0.341 0.346 0.157  4.31
Mn 0.661 0.671 0.348  4.60
Mn 0.337 0.357 0.678  4.62
Mn 0.637 0.667 0.828  4.13
Mn 0.001 0.007 0.500  4.70
Mn 0.021 0.965 0.993  4.55
O 0.557 0.585 0.634  -0.10
O 0.314 0.667 0.995  -0.17
F 0.371 0.000 0.322  0.03
F 0.999 0.642 0.682  0.03
F 0.117 0.107 0.700  0.04
F 0.421 0.447 0.368  0.04
F 0.754 0.752 0.032  0.02
F 0.914 0.891 0.292  0.05
F 0.236 0.213 0.975  0.04
F 0.638 0.040 0.669  0.06
F 0.973 0.369 0.326  0.05
F 0.710 0.272 0.003  0.05

Values from the calculation:
energy above the most stable polymorph in this dataset	18	meV per atom
DFT total energy	-6.50	eV per atom



No. 5
The following is a DFT calculation (GGA+U) of Mn6O7F5 after structural relaxation.

Lattice parameters (Å, degrees): 4.660 5.620 7.719 86.29 89.94 88.53
Last column: magnetic moment on the atom in μB.
Positions (direct):
Mn 0.496 0.496 0.999  4.07
Mn 0.484 0.842 0.665  3.97
Mn 0.532 0.165 0.344  3.53
Mn 0.021 0.321 0.662  4.00
Mn 0.952 0.662 0.327  3.87
Mn 0.010 0.003 0.004  4.02
O 0.799 0.363 0.442  -0.15
O 0.805 0.708 0.103  -0.18
O 0.699 0.208 0.114  -0.16
O 0.701 0.880 0.441  -0.17
O 0.310 0.127 0.560  -0.14
O 0.298 0.789 0.889  -0.18
O 0.194 0.294 0.894  -0.17
F 0.792 0.041 0.771  0.07
F 0.707 0.545 0.750  0.02
F 0.294 0.456 0.248  0.03
F 0.184 0.637 0.545  0.03
F 0.223 0.962 0.243  0.03

Values from the calculation:
energy above the most stable polymorph in this dataset	30	meV per atom
DFT total energy	-6.76	eV per atom



No. 6
The following is a DFT calculation (GGA+U) of Mn6OF11 after structural relaxation.

Lattice parameters (Å, degrees): 5.878 4.913 16.245 89.89 90.00 90.02
Last column: magnetic moment on the atom in μB.
Positions (direct):
Mn 0.964 0.000 0.000  4.40
Mn 0.090 0.485 0.158  4.57
Mn 0.910 0.999 0.329  4.70
Mn 0.078 0.500 0.500  -4.69
Mn 0.911 0.001 0.671  4.70
Mn 0.091 0.515 0.842  4.57
Mn 0.585 0.016 0.158  4.70
Mn 0.386 0.500 0.000  2.08
Mn 0.411 0.496 0.669  4.70
Mn 0.580 0.000 0.500  -4.69
Mn 0.410 0.504 0.331  4.70
Mn 0.586 0.984 0.842  4.70
O 0.162 0.276 0.052  -0.15
O 0.163 0.724 0.948  -0.15
F 0.131 0.721 0.269  0.05
F 0.136 0.730 0.611  0.02
F 0.135 0.270 0.389  0.02
F 0.131 0.279 0.731  0.05
F 0.376 0.717 0.105  0.02
F 0.353 0.266 0.221  0.05
F 0.352 0.269 0.558  -0.02
F 0.377 0.283 0.895  0.02
F 0.354 0.734 0.779  0.05
F 0.352 0.731 0.441  -0.02
F 0.639 0.748 0.953  0.02
F 0.637 0.768 0.611  0.02
F 0.630 0.782 0.271  0.05
F 0.638 0.253 0.047  0.02
F 0.637 0.232 0.389  0.02
F 0.631 0.218 0.729  0.05
F 0.853 0.771 0.441  -0.02
F 0.874 0.790 0.110  0.06
F 0.853 0.760 0.781  0.06
F 0.853 0.229 0.559  -0.02
F 0.874 0.210 0.890  0.06
F 0.853 0.241 0.219  0.06

Values from the calculation:
energy above the most stable polymorph in this dataset	37	meV per atom
DFT total energy	-6.42	eV per atom



No. 7
The following is a DFT calculation (GGA+U) of MnO2F2 after structural relaxation.

Lattice parameters (Å, degrees): 3.818 3.818 3.823 90.00 90.00 90.00
Last column: magnetic moment on the atom in μB.
Positions (direct):
Mn 0.000 0.000 0.000  3.56
O 0.000 0.500 0.000  -0.82
O 0.500 0.000 0.000  -0.82
F 0.500 0.500 0.500  -0.64
F 0.000 0.000 0.500  -0.03

Values from the calculation:
DFT total energy	-4.92	eV per atom



No. 8
The following is a DFT calculation (GGA+U) of MnO2F4 after structural relaxation.

Lattice parameters (Å, degrees): 6.606 3.108 7.951 98.95 140.92 92.66
Last column: magnetic moment on the atom in μB.
Positions (direct):
Mn 0.000 0.000 0.000  3.43
O 0.111 0.166 0.568  0.66
O 0.889 0.834 0.432  0.66
F 0.211 0.622 0.252  -0.06
F 0.789 0.378 0.748  -0.06
F 0.681 0.948 0.948  0.01
F 0.319 0.052 0.052  0.01

Values from the calculation:
DFT total energy	-4.99	eV per atom



Repeat the third record exactly.
The following is a DFT calculation (GGA+U) of Mn6O5F7 after structural relaxation.

Lattice parameters (Å, degrees): 5.618 5.734 7.300 74.11 74.32 72.46
Last column: magnetic moment on the atom in μB.
Positions (direct):
Mn 0.704 0.676 0.837  4.06
Mn 0.310 0.363 0.668  4.10
Mn 0.674 0.620 0.315  4.25
Mn 0.306 0.334 0.174  4.17
Mn 0.998 0.995 0.495  4.12
Mn 0.006 0.007 0.998  4.15
O 0.029 0.665 0.665  -0.14
O 0.216 0.244 0.958  -0.14
O 0.798 0.773 0.029  -0.15
O 0.410 0.429 0.381  -0.15
O 0.967 0.327 0.332  -0.18
F 0.382 0.941 0.336  0.04
F 0.912 0.871 0.299  0.02
F 0.588 0.572 0.642  0.03
F 0.074 0.114 0.700  0.04
F 0.613 0.057 0.664  0.04
F 0.333 0.713 0.990  0.03
F 0.680 0.300 0.018  0.03

Values from the calculation:
energy above the most stable polymorph in this dataset	10	meV per atom
DFT total energy	-6.67	eV per atom